[1]
CaAs3Pb: optimized geometry, PBEsol.

The space group is Pm-3m (No. 221) and the conventional cell measures 5.312, 5.312 and 5.312 Å, with angles of 90.00, 90.00 and 90.00 degrees. The distinct sites, in fractional coordinates, are Ca at (0.000, 0.000, 0.000), As at (0.000, 0.500, 0.500) and Pb at (0.500, 0.500, 0.500).

The calculation puts the size of the total moment at 0.0 μB per formula unit. The density of states at the Fermi level is 6.1 states/eV/f.u. The total energy comes out at -0.280 Ry/atom.

***

[2]
CaAsPb3: optimized geometry, PBEsol.

The space group is Pm-3m (No. 221) and the conventional cell measures 5.540, 5.540 and 5.540 Å, with angles of 90.00, 90.00 and 90.00 degrees. The distinct sites, in fractional coordinates, are Ca at (0.000, 0.000, 0.000), As at (0.500, 0.500, 0.500) and Pb at (0.000, 0.500, 0.500).

The calculation puts the size of the total moment at 0.0 μB per formula unit. The density of states at the Fermi level is 4.4 states/eV/f.u. The total energy comes out at -0.268 Ry/atom.

***

[3]
CaAs2Pd2: optimized geometry, PBEsol.

The space group is I4/mmm (No. 139) and the conventional cell measures 4.279, 4.279 and 10.118 Å, with angles of 90.00, 90.00 and 90.00 degrees. The distinct sites, in fractional coordinates, are Ca at (0.000, 0.000, 0.000), As at (0.000, 0.000, 0.379) and Pd at (0.000, 0.500, 0.250).

The calculation puts the size of the total moment at 0.0 μB per formula unit. The density of states at the Fermi level is 1.8 states/eV/f.u. The total energy comes out at -0.413 Ry/atom.

***

[4]
CaAs2Pd2: optimized geometry, PBEsol.

The space group is I4/mmm (No. 139) and the conventional cell measures 4.623, 4.623 and 9.089 Å, with angles of 90.00, 90.00 and 90.00 degrees. The distinct sites, in fractional coordinates, are Ca at (0.000, 0.000, 0.000), As at (0.000, 0.500, 0.250) and Pd at (0.000, 0.000, 0.354).

The calculation puts the size of the total moment at 0.0 μB per formula unit. The density of states at the Fermi level is 1.7 states/eV/f.u. The total energy comes out at -0.403 Ry/atom.

***

[5]
CaAsPt: optimized geometry, PBEsol.

The space group is I4_1md (No. 109) and the conventional cell measures 4.110, 4.110 and 14.844 Å, with angles of 90.00, 90.00 and 90.00 degrees. The distinct sites, in fractional coordinates, are Ca at (0.000, 0.000, 0.000), As at (0.000, 0.000, 0.580) and Pt at (0.000, 0.000, 0.417).

The calculation puts the size of the total moment at 0.0 μB per formula unit. The density of states at the Fermi level is 1.0 states/eV/f.u. The total energy comes out at -0.423 Ry/atom.

***

[6]
CaAsPt2: optimized geometry, PBEsol.

The space group is P4/mmm (No. 123) and the conventional cell measures 3.165, 3.165 and 7.180 Å, with angles of 90.00, 90.00 and 90.00 degrees. The distinct sites, in fractional coordinates, are Ca at (0.000, 0.000, 0.000), As at (0.000, 0.000, 0.500) and Pt at (0.500, 0.500, 0.291).

The calculation puts the size of the total moment at 0.0 μB per formula unit. The density of states at the Fermi level is 2.2 states/eV/f.u. The total energy comes out at -0.419 Ry/atom.

***

[7]
CaAsPt: optimized geometry, PBEsol.

The space group is F-43m (No. 216) and the conventional cell measures 6.343, 6.343 and 6.343 Å, with angles of 90.00, 90.00 and 90.00 degrees. The distinct sites, in fractional coordinates, are Ca at (0.000, 0.000, 0.000), As at (0.000, 0.000, 0.500) and Pt at (0.250, 0.250, 0.750).

The calculation puts the size of the total moment at 0.0 μB per formula unit. The density of states at the Fermi level is 2.3 states/eV/f.u. The total energy comes out at -0.399 Ry/atom.

***

[8]
CaAs2Pt: optimized geometry, PBEsol.

The space group is P2/m (No. 10) and the conventional cell measures 4.595, 3.992 and 4.670 Å, with angles of 90.00, 100.35 and 90.00 degrees. The distinct sites, in fractional coordinates, are Ca at (0.000, 0.000, 0.000), As at (0.342, 0.500, 0.747) and Pt at (0.500, 0.000, 0.500).

The calculation puts the size of the total moment at 0.0 μB per formula unit. The density of states at the Fermi level is 0.4 states/eV/f.u. The total energy comes out at -0.412 Ry/atom.

***

[9]
Ca2ReAs: optimized geometry, PBEsol.

The space group is Cmmm (No. 65) and the conventional cell measures 6.294, 8.849 and 2.839 Å, with angles of 90.00, 90.00 and 90.00 degrees. The distinct sites, in fractional coordinates, are Ca at (0.250, 0.250, 0.000), Re at (0.000, 0.000, 0.500) and As at (0.000, 0.500, 0.500).

The calculation puts the size of the total moment at 0.0 μB per formula unit. The density of states at the Fermi level is 2.2 states/eV/f.u. The total energy comes out at -0.403 Ry/atom.

***

[10]
CaRe4As: optimized geometry, PBEsol.

The space group is F-43m (No. 216) and the conventional cell measures 7.458, 7.458 and 7.458 Å, with angles of 90.00, 90.00 and 90.00 degrees. The distinct sites, in fractional coordinates, are Ca at (0.000, 0.000, 0.000), Re at (0.124, 0.124, 0.624) and As at (0.250, 0.250, 0.250).

The calculation puts the size of the total moment at 0.0 μB per formula unit. The density of states at the Fermi level is 3.5 states/eV/f.u. The total energy comes out at -0.703 Ry/atom.

***

[11]
CaReAs4: optimized geometry, PBEsol.

The space group is F-43m (No. 216) and the conventional cell measures 7.696, 7.696 and 7.696 Å, with angles of 90.00, 90.00 and 90.00 degrees. The distinct sites, in fractional coordinates, are Ca at (0.000, 0.000, 0.000), Re at (0.250, 0.250, 0.250) and As at (0.124, 0.124, 0.624).

The calculation puts the size of the total moment at 1.2 μB per formula unit. The density of states at the Fermi level is 5.7 states/eV/f.u. The total energy comes out at -0.396 Ry/atom.

***

[12]
CaReAsSe2: optimized geometry, PBEsol.

The space group is P4/mmm (No. 123) and the conventional cell measures 5.176, 5.176 and 5.232 Å, with angles of 90.00, 90.00 and 90.00 degrees. The distinct sites, in fractional coordinates, are Ca at (0.000, 0.000, 0.000), Re at (0.500, 0.500, 0.500), As at (0.000, 0.000, 0.500) and Se at (0.000, 0.500, 0.000).

The calculation puts the size of the total moment at 3.7 μB per formula unit. The density of states at the Fermi level is 4.9 states/eV/f.u. The calculation puts the uncorrected formation energy at 1.486 eV per atom. The total energy comes out at -0.306 Ry/atom.